Compound: La5PrNd2In
Source: Alexandria via LeMat-Bulk
Functional: PBE
Structure: optimized geometry

## Properties
SG = P4/mbm, No. 127
energy of formation = 109 kJ/mol of formula units
N(E_F) = 1.0631 states/eV/atom
total magnetization = 0.00 μB per cell

Cell lengths 8.7476, 8.5381, 8.5381 Å; angles 90.00, 90.00, 90.00 degrees
Closest atoms and distances in Å follow each position.
Element x y z (fractional)
In: 0.0000 0.5000 0.0000  4 La 3.28
La: 0.7853 0.7223 0.7777  1 Nd 3.11, 1 In 3.28
Pr: 0.0000 0.0000 0.0000  8 La 3.57
Nd: 0.5000 0.6241 0.1241  1 Nd 3.00, 2 La 3.11
In: 0.0000 0.0000 0.5000  4 La 3.28
La: 0.2147 0.2223 0.7223  1 Nd 3.11, 1 In 3.28
La: 0.7853 0.7777 0.2777  1 Nd 3.11, 1 In 3.28
La: 0.5000 0.5000 0.5000  4 Nd 3.38
La: 0.2147 0.7777 0.2777  1 Nd 3.11, 1 In 3.28
La: 0.2147 0.2777 0.2223  1 Nd 3.11, 1 In 3.28
Nd: 0.5000 0.3759 0.8759  1 Nd 3.00, 2 La 3.11
Nd: 0.5000 0.8759 0.6241  1 Nd 3.00, 2 La 3.11
Nd: 0.5000 0.1241 0.3759  1 Nd 3.00, 2 La 3.11
La: 0.7853 0.2223 0.7223  1 Nd 3.11, 1 In 3.28
La: 0.2147 0.7223 0.7777  1 Nd 3.11, 1 In 3.28
La: 0.5000 0.0000 0.0000  4 Nd 3.38
La: 0.7853 0.2777 0.2223  1 Nd 3.11, 1 In 3.28
Pr: 0.0000 0.5000 0.5000  8 La 3.57